1.
VASP calculation (PBE) on an optimized crystal structure of SmScB12.

Output
formation enthalpy at 0 K = -0.330 eV per atom

Geometry as CIF:
```
data_SmScB12
_chemical_formula_sum 'Sm1 Sc1 B12'
_cell_length_a 4.098
_cell_length_b 4.098
_cell_length_c 8.190
_cell_angle_alpha 90.00
_cell_angle_beta 90.00
_cell_angle_gamma 90.00
_symmetry_space_group_name_H-M 'P 4/m m m'
_symmetry_Int_Tables_number 123
_symmetry_space_group_name_Hall '-P 4 2'
loop_
_atom_site_label
_atom_site_type_symbol
_atom_site_fract_x
_atom_site_fract_y
_atom_site_fract_z
_atom_site_occupancy
Sm1 Sm 0.000 0.000 0.000 1
Sc1 Sc 0.000 0.000 0.500 1
B1 B 0.199 0.500 0.252 1
B2 B 0.500 0.500 0.100 1
B3 B 0.500 0.500 0.401 1
```



2.
VASP calculation (PBE) on an optimized crystal structure of Sc6Sn2B.

Output
formation enthalpy at 0 K = -0.538 eV per atom

Geometry as CIF:
```
data_Sc6Sn2B
_chemical_formula_sum 'Sc24 Sn8 B4'
_cell_length_a 9.178
_cell_length_b 9.178
_cell_length_c 9.178
_cell_angle_alpha 90.00
_cell_angle_beta 90.00
_cell_angle_gamma 90.00
_symmetry_space_group_name_H-M 'F m -3 m'
_symmetry_Int_Tables_number 225
_symmetry_space_group_name_Hall '-F 4 2 3'
loop_
_atom_site_label
_atom_site_type_symbol
_atom_site_fract_x
_atom_site_fract_y
_atom_site_fract_z
_atom_site_occupancy
Sc1 Sc 0.000 0.000 0.249 1
Sn1 Sn 0.250 0.250 0.250 1
B1 B 0.000 0.000 0.000 1
```



3.
VASP calculation (PBE) on an optimized crystal structure of Sc2SnB.

Output
formation enthalpy at 0 K = 0.675 eV per atom
ΔE to the lowest computed polymorph = 753 meV/atom

Geometry as CIF:
```
data_Sc2SnB
_chemical_formula_sum 'Sc6 Sn3 B3'
_cell_length_a 3.2795
_cell_length_b 3.2795
_cell_length_c 28.9999
_cell_angle_alpha 90.00
_cell_angle_beta 90.00
_cell_angle_gamma 120.00
_symmetry_space_group_name_H-M 'R -3 m'
_symmetry_Int_Tables_number 166
_symmetry_space_group_name_Hall '-R 3 2"'
loop_
_atom_site_label
_atom_site_type_symbol
_atom_site_fract_x
_atom_site_fract_y
_atom_site_fract_z
_atom_site_occupancy
Sc1 Sc 0.0000 0.0000 0.0810 1
Sn1 Sn 0.0000 0.0000 0.5000 1
B1 B 0.0000 0.0000 0.0000 1
```



4.
VASP calculation (PBE) on an optimized crystal structure of Sc2SnB.

Output
formation enthalpy at 0 K = -0.078 eV per atom
ΔE to the lowest computed polymorph = 0 meV/atom

Geometry as CIF:
```
data_Sc2SnB
_chemical_formula_sum 'Sc6 Sn3 B3'
_cell_length_a 3.5282
_cell_length_b 3.5282
_cell_length_c 25.8366
_cell_angle_alpha 90.00
_cell_angle_beta 90.00
_cell_angle_gamma 120.00
_symmetry_space_group_name_H-M 'R -3 m'
_symmetry_Int_Tables_number 166
_symmetry_space_group_name_Hall '-R 3 2"'
loop_
_atom_site_label
_atom_site_type_symbol
_atom_site_fract_x
_atom_site_fract_y
_atom_site_fract_z
_atom_site_occupancy
Sc1 Sc 0.0000 0.0000 0.1193 1
Sn1 Sn 0.0000 0.0000 0.0000 1
B1 B 0.0000 0.0000 0.5000 1
```



5.
VASP calculation (PBE) on an optimized crystal structure of Sc2SnB.

Output
formation enthalpy at 0 K = 0.123 eV per atom
ΔE to the lowest computed polymorph = 201 meV/atom

Geometry as CIF:
```
data_Sc2SnB
_chemical_formula_sum 'Sc8 Sn4 B4'
_cell_length_a 6.701
_cell_length_b 6.701
_cell_length_c 6.701
_cell_angle_alpha 90.00
_cell_angle_beta 90.00
_cell_angle_gamma 90.00
_symmetry_space_group_name_H-M 'F m -3 m'
_symmetry_Int_Tables_number 225
_symmetry_space_group_name_Hall '-F 4 2 3'
loop_
_atom_site_label
_atom_site_type_symbol
_atom_site_fract_x
_atom_site_fract_y
_atom_site_fract_z
_atom_site_occupancy
Sc1 Sc 0.250 0.250 0.250 1
Sn1 Sn 0.000 0.000 0.000 1
B1 B 0.000 0.000 0.500 1
```



6.
VASP calculation (PBE) on an optimized crystal structure of Sc2SnB.

Output
formation enthalpy at 0 K = -0.029 eV per atom
ΔE to the lowest computed polymorph = 49 meV/atom

Geometry as CIF:
```
data_Sc2SnB
_chemical_formula_sum 'Sc8 Sn4 B4'
_cell_length_a 7.219
_cell_length_b 7.219
_cell_length_c 6.056
_cell_angle_alpha 90.00
_cell_angle_beta 90.00
_cell_angle_gamma 90.00
_symmetry_space_group_name_H-M 'I -4 2 d'
_symmetry_Int_Tables_number 122
_symmetry_space_group_name_Hall 'I -4 2bw'
loop_
_atom_site_label
_atom_site_type_symbol
_atom_site_fract_x
_atom_site_fract_y
_atom_site_fract_z
_atom_site_occupancy
Sc1 Sc 0.183 0.250 0.125 1
Sn1 Sn 0.000 0.000 0.500 1
B1 B 0.000 0.000 0.000 1
```



7.
VASP calculation (PBE) on an optimized crystal structure of SrScSnB2.

Output
formation enthalpy at 0 K = 0.857 eV per atom

Geometry as CIF:
```
data_SrScSnB2
_chemical_formula_sum 'Sr1 Sc1 Sn1 B2'
_cell_length_a 4.726
_cell_length_b 4.726
_cell_length_c 5.351
_cell_angle_alpha 90.00
_cell_angle_beta 90.00
_cell_angle_gamma 90.00
_symmetry_space_group_name_H-M 'P 4/m m m'
_symmetry_Int_Tables_number 123
_symmetry_space_group_name_Hall '-P 4 2'
loop_
_atom_site_label
_atom_site_type_symbol
_atom_site_fract_x
_atom_site_fract_y
_atom_site_fract_z
_atom_site_occupancy
Sr1 Sr 0.000 0.000 0.000 1
Sc1 Sc 0.500 0.500 0.500 1
Sn1 Sn 0.500 0.500 0.000 1
B1 B 0.000 0.500 0.500 1
```



8.
VASP calculation (PBE) on an optimized crystal structure of ScTi2SnB.

Output
formation enthalpy at 0 K = -0.496 eV per atom

Geometry as CIF:
```
data_ScTi2SnB
_chemical_formula_sum 'Sc1 Ti2 Sn1 B1'
_cell_length_a 4.368
_cell_length_b 4.368
_cell_length_c 4.547
_cell_angle_alpha 90.00
_cell_angle_beta 90.00
_cell_angle_gamma 90.00
_symmetry_space_group_name_H-M 'P 4/m m m'
_symmetry_Int_Tables_number 123
_symmetry_space_group_name_Hall '-P 4 2'
loop_
_atom_site_label
_atom_site_type_symbol
_atom_site_fract_x
_atom_site_fract_y
_atom_site_fract_z
_atom_site_occupancy
Sc1 Sc 0.000 0.000 0.000 1
Ti1 Ti 0.000 0.500 0.500 1
Sn1 Sn 0.500 0.500 0.000 1
B1 B 0.000 0.000 0.500 1
```



9.
VASP calculation (PBE) on an optimized crystal structure of ScSnBW2.

Output
formation enthalpy at 0 K = 2.200 eV per atom

Geometry as CIF:
```
data_ScSnBW2
_chemical_formula_sum 'Sc1 Sn1 B1 W2'
_cell_length_a 5.091
_cell_length_b 5.091
_cell_length_c 4.070
_cell_angle_alpha 90.00
_cell_angle_beta 90.00
_cell_angle_gamma 90.00
_symmetry_space_group_name_H-M 'P 4/m m m'
_symmetry_Int_Tables_number 123
_symmetry_space_group_name_Hall '-P 4 2'
loop_
_atom_site_label
_atom_site_type_symbol
_atom_site_fract_x
_atom_site_fract_y
_atom_site_fract_z
_atom_site_occupancy
Sc1 Sc 0.000 0.000 0.000 1
Sn1 Sn 0.500 0.500 0.500 1
B1 B 0.500 0.500 0.000 1
W1 W 0.000 0.500 0.500 1
```



10.
VASP calculation (PBE) on an optimized crystal structure of ScSn2BW.

Output
formation enthalpy at 0 K = 0.705 eV per atom

Geometry as CIF:
```
data_ScSn2BW
_chemical_formula_sum 'Sc1 Sn2 B1 W1'
_cell_length_a 5.240
_cell_length_b 5.240
_cell_length_c 4.242
_cell_angle_alpha 90.00
_cell_angle_beta 90.00
_cell_angle_gamma 90.00
_symmetry_space_group_name_H-M 'P 4/m m m'
_symmetry_Int_Tables_number 123
_symmetry_space_group_name_Hall '-P 4 2'
loop_
_atom_site_label
_atom_site_type_symbol
_atom_site_fract_x
_atom_site_fract_y
_atom_site_fract_z
_atom_site_occupancy
Sc1 Sc 0.000 0.000 0.000 1
Sn1 Sn 0.000 0.500 0.500 1
B1 B 0.500 0.500 0.000 1
W1 W 0.500 0.500 0.500 1
```



11.
VASP calculation (PBE) on an optimized crystal structure of YSc2SnB.

Output
formation enthalpy at 0 K = -0.560 eV per atom

Geometry as CIF:
```
data_YSc2SnB
_chemical_formula_sum 'Y1 Sc2 Sn1 B1'
_cell_length_a 4.706
_cell_length_b 4.706
_cell_length_c 4.957
_cell_angle_alpha 90.00
_cell_angle_beta 90.00
_cell_angle_gamma 90.00
_symmetry_space_group_name_H-M 'P 4/m m m'
_symmetry_Int_Tables_number 123
_symmetry_space_group_name_Hall '-P 4 2'
loop_
_atom_site_label
_atom_site_type_symbol
_atom_site_fract_x
_atom_site_fract_y
_atom_site_fract_z
_atom_site_occupancy
Y1 Y 0.000 0.000 0.000 1
Sc1 Sc 0.000 0.500 0.500 1
Sn1 Sn 0.500 0.500 0.000 1
B1 B 0.000 0.000 0.500 1
```



12.
VASP calculation (PBE) on an optimized crystal structure of ZrSc2SnB.

Output
formation enthalpy at 0 K = -0.577 eV per atom

Geometry as CIF:
```
data_ZrSc2SnB
_chemical_formula_sum 'Zr1 Sc2 Sn1 B1'
_cell_length_a 4.629
_cell_length_b 4.629
_cell_length_c 4.682
_cell_angle_alpha 90.00
_cell_angle_beta 90.00
_cell_angle_gamma 90.00
_symmetry_space_group_name_H-M 'P 4/m m m'
_symmetry_Int_Tables_number 123
_symmetry_space_group_name_Hall '-P 4 2'
loop_
_atom_site_label
_atom_site_type_symbol
_atom_site_fract_x
_atom_site_fract_y
_atom_site_fract_z
_atom_site_occupancy
Zr1 Zr 0.000 0.000 0.000 1
Sc1 Sc 0.000 0.500 0.500 1
Sn1 Sn 0.500 0.500 0.000 1
B1 B 0.000 0.000 0.500 1
```